# LaCdSi4, optimized geometry, DFT PBE
# energy relative to the elements, uncorrected	-0.07	eV per atom
data_LaCdSi4
_cell_length_a 5.434
_cell_length_b 5.434
_cell_length_c 5.434
_cell_angle_alpha 60.00
_cell_angle_beta 60.00
_cell_angle_gamma 60.00
_space_group_name_H-M_alt 'P 1'
_space_group_IT_number 1
loop_
_space_group_symop_operation_xyz
'x,y,z'
loop_
_atom_site_label
_atom_site_fract_x
_atom_site_fract_y
_atom_site_fract_z
Cd1 0.750 0.750 0.750
La1 0.000 0.000 0.000
Si1 0.864 0.379 0.379
Si2 0.379 0.379 0.379
Si3 0.379 0.379 0.864
Si4 0.379 0.864 0.379

# La4Cd3Si, optimized geometry, DFT PBE
# energy relative to the elements, uncorrected	-0.39	eV per atom
data_La4Cd3Si
_cell_length_a 3.914
_cell_length_b 3.914
_cell_length_c 15.229
_cell_angle_alpha 90.00
_cell_angle_beta 90.00
_cell_angle_gamma 90.00
_space_group_name_H-M_alt 'P 1'
_space_group_IT_number 1
loop_
_space_group_symop_operation_xyz
'x,y,z'
loop_
_atom_site_label
_atom_site_fract_x
_atom_site_fract_y
_atom_site_fract_z
La1 0.000 0.000 0.899
La2 0.000 0.000 0.369
Cd1 0.500 0.500 0.241
Cd2 0.500 0.500 0.500
Cd3 0.500 0.500 0.759
Si1 0.500 0.500 0.000
La3 0.000 0.000 0.631
La4 0.000 0.000 0.101